A geometry-optimized TiFe2TcH structure. Source: the Alexandria database, functional PBE-GGA.

Values from the calculation:
**N(E_F)**: 5.4 states/eV/cell
**Magnetic moment**: 3.669 Bohr magnetons per cell
**ΔE to the lowest computed polymorph**: 0.010 eV/atom

Geometry as POSCAR:
```
TiFe2TcH
1.0
-0.158 -3.153 1.862
3.314 0.669 1.415
-1.732 1.941 3.140
Fe Ti Tc H
2 1 1 1
direct
0.000 0.500 0.000
0.500 0.000 0.000
0.500 0.500 0.500
0.000 0.000 0.500
0.000 0.000 0.000
```

A geometry-optimized YBe3Sb structure. Source: the Alexandria database, functional PBE-GGA.

Values from the calculation:
**Formation energy (no corrections)**: 864 meV per atom
**N(E_F)**: 2.5 states/eV/cell
**Magnetic moment**: 0.000 Bohr magnetons per cell
**ΔE to the lowest computed polymorph**: 0.000 eV/atom

Geometry as POSCAR:
```
YBe3Sb
1.0
-3.292 -2.095 2.531
3.063 -3.253 1.292
1.188 2.581 3.682
Be Sb Y
3 1 1
direct
0.000 0.500 0.000
0.500 0.000 0.000
0.000 0.000 0.500
0.000 0.000 0.000
0.500 0.500 0.500
```

A geometry-optimized Tb8Nd3Tm structure. Source: the Alexandria database, functional PBE-GGA.

Values from the calculation:
**N(E_F)**: 18.4 states/eV/cell
**Energy of formation from the pure elements**: 0.610 eV/atom
**Magnetic moment**: 0.001 Bohr magnetons per cell

Geometry as POSCAR:
```
Tb8Nd3Tm
1.0
7.597 -0.441 -3.576
-4.428 7.039 -1.240
-0.278 0.441 8.392
Nd Tb Tm
3 8 1
direct
0.500 0.250 0.750
0.000 0.500 0.500
0.500 0.750 0.250
0.250 0.371 0.371
0.000 0.766 0.255
0.750 0.121 0.121
0.489 0.234 0.234
0.511 0.745 0.745
0.000 0.879 0.629
0.000 0.255 0.766
0.000 0.629 0.879
0.000 0.000 0.000
```

A geometry-optimized MgMoPt structure. Source: the Alexandria database, functional PBE-GGA.

Values from the calculation:
**N(E_F)**: 3.7 states/eV/cell
**Energy of formation from the pure elements**: -0.274 eV/atom
**Magnetic moment**: 0.000 Bohr magnetons per cell
**ΔE to the lowest computed polymorph**: 0.066 eV/atom

Geometry as POSCAR:
```
MgMoPt
1.0
2.801 0.004 0.000
-0.010 8.802 0.054
-2.798 2.637 4.044
Mg Pt Mo
2 2 2
direct
0.855 0.291 0.115
0.613 0.030 0.875
0.786 0.360 0.547
0.681 0.962 0.443
0.121 0.661 0.495
0.847 0.661 0.995
```

A geometry-optimized HgOsPdAu2 structure. Source: the Alexandria database, functional PBE-GGA.

Values from the calculation:
**N(E_F)**: 5.4 states/eV/cell
**Energy of formation from the pure elements**: 1.653 eV/atom
**Magnetic moment**: 3.345 Bohr magnetons per cell
**ΔE to the lowest computed polymorph**: 0.000 eV/atom

Geometry as POSCAR:
```
HgOsPdAu2
1.0
5.011 0.000 0.000
0.000 4.999 0.000
0.000 0.000 5.011
Au Hg Pd Os
2 1 1 1
direct
0.000 0.000 0.500
0.500 0.000 0.000
0.000 0.500 0.000
0.000 0.000 0.000
0.500 0.500 0.500
```